1.
Entry from Alexandria: a relaxed structure of Ga2CuBr6 (PBE).

a = 8.155 Å, b = 10.368 Å, c = 10.368 Å
α = 91.01°, β = 68.34°, γ = 68.34°
Element x y z (fractional)
Ga  0.197  0.621  0.795
Ga  0.303  0.205  0.379
Ga  0.803  0.379  0.205
Ga  0.697  0.795  0.621
Cu  0.250  0.197  0.803
Cu  0.750  0.803  0.197
Br  0.490  0.660  0.634
Br  0.010  0.366  0.340
Br  0.510  0.340  0.366
Br  0.990  0.634  0.660
Br  0.817  0.867  0.393
Br  0.683  0.607  0.133
Br  0.183  0.133  0.607
Br  0.317  0.393  0.867
Br  0.035  0.808  0.997
Br  0.465  0.003  0.192
Br  0.965  0.192  0.003
Br  0.535  0.997  0.808

Computed properties:
Raw formation energy = -589 meV/atom
Space group = C2/c, No. 15
Calculated total energy = -2.83 eV/atom

***

2.
Entry from Alexandria: a relaxed structure of TbCe2PuBi4 (PBE).

a = 4.565 Å, b = 7.868 Å, c = 7.913 Å
α = 70.44°, β = 90.00°, γ = 90.00°
Element x y z (fractional)
Tb  0.000  0.500  0.500
Ce  0.000  0.000  0.000
Ce  0.500  0.000  0.500
Pu  0.500  0.500  0.000
Bi  0.000  0.747  0.749
Bi  0.000  0.253  0.251
Bi  0.500  0.746  0.253
Bi  0.500  0.254  0.747

Computed properties:
DFT formation energy = -0.70 eV per atom
Space group = P2/m, No. 10
Calculated total energy = -6.49 eV/atom

***

3.
Entry from Alexandria: a relaxed structure of TbMgGaNi (PBE).

a = 4.729 Å, b = 4.729 Å, c = 4.729 Å
α = 60.00°, β = 60.00°, γ = 60.00°
Element x y z (fractional)
Ni  0.250  0.250  0.250
Mg  0.000  0.000  0.000
Tb  0.500  0.500  0.500
Ga  0.750  0.750  0.750

Computed properties:
DFT formation energy = -0.36 eV per atom
Space group = F-43m, No. 216
Calculated total energy = -4.12 eV/atom

***

4.
Entry from Alexandria: a relaxed structure of TlRu3 (PBE).

a = 9.171 Å, b = 9.171 Å, c = 9.171 Å
α = 18.02°, β = 18.02°, γ = 18.02°
Element x y z (fractional)
Ru  0.757  0.757  0.757
Ru  0.500  0.500  0.500
Ru  0.243  0.243  0.243
Tl  0.000  0.000  0.000

Computed properties:
DFT formation energy = 0.57 eV per atom
Space group = R-3m, No. 166
Calculated total energy = -6.98 eV/atom

***

5.
Entry from Alexandria: a relaxed structure of CdReNi (PBE).

a = 2.783 Å, b = 2.783 Å, c = 6.832 Å
α = 90.00°, β = 90.00°, γ = 120.00°
Element x y z (fractional)
Cd  0.000  0.000  0.014
Ni  0.667  0.333  0.350
Re  0.333  0.667  0.636

Computed properties:
DFT formation energy = 0.29 eV per atom
Space group = P3m1, No. 156
Calculated total energy = -6.09 eV/atom

***

6.
Entry from Alexandria: a relaxed structure of Ac3NiPt3 (PBE).

a = 4.448 Å, b = 4.256 Å, c = 10.058 Å
α = 102.22°, β = 102.77°, γ = 90.00°
Element x y z (fractional)
Ac  0.319  0.819  0.639
Ac  0.682  0.182  0.364
Ac  0.000  0.000  0.001
Ni  0.429  0.429  0.859
Pt  0.154  0.654  0.308
Pt  0.857  0.357  0.713
Pt  0.558  0.558  0.117

Computed properties:
DFT formation energy = -0.95 eV per atom
Space group = Imm2, No. 44
Calculated total energy = -6.12 eV/atom

***

What is the calculated total energy in the third record? -4.12 eV/atom